Computed, not measured: AlTlCd after structural relaxation at the GGA-PBE level of DFT.

The structure belongs to space group P1 (No. 1); the cell edges are 3.208, 5.320 and 9.023 Å and the angles 105.63°, 97.54° and 94.07°. The distinct sites, in fractional coordinates, are Al at (0.000, 0.000, 0.000), Al at (0.408, 0.570, 0.989), Tl at (0.219, 0.916, 0.369), Tl at (0.855, 0.532, 0.622), Cd at (0.421, 0.094, 0.749) and Cd at (0.658, 0.359, 0.242).

Its density of states at the Fermi level is 1.0 states/eV/f.u. The value obtained for the final energy is -13.1 eV/cell. The calculated formation energy comes out at 0.151 eV per atom.

---

Computed, not measured: TiCdPb2 after structural relaxation at the GGA-PBE level of DFT.

The structure belongs to space group I-42d (No. 122); the cell edges are 8.133, 8.133 and 6.361 Å and the angles 90.00°, 90.00° and 90.00°. The distinct sites, in fractional coordinates, are Ti at (0.000, 0.000, 0.000), Cd at (0.000, 0.000, 0.500) and Pb at (0.241, 0.250, 0.125).

Its density of states at the Fermi level is 5.7 states/eV/f.u. The value obtained for the final energy is -58.3 eV/cell. The calculated formation energy comes out at 0.411 eV per atom.

---

What is the formula in the first record?
AlTlCd